1.
Cu3Mo2H2O10 | the Alexandria database | PBE+U | relaxed; magnetic moment = 0.0615 μB/atom; density of states at the Fermi level = 0.53 states/eV/cell
1.0
5.664 0.000 0.000
0.541 5.839 0.000
0.391 0.680 6.544
Cu Mo H O
3 2 2 10
Direct
0.000 0.000 0.000
0.393 0.234 0.076
0.607 0.766 0.924
0.176 0.603 0.668
0.824 0.397 0.332
0.282 0.754 0.199
0.718 0.246 0.801
0.062 0.209 0.203
0.162 0.598 0.395
0.249 0.329 0.814
0.303 0.840 0.059
0.439 0.747 0.679
0.561 0.253 0.321
0.697 0.160 0.941
0.751 0.671 0.186
0.838 0.402 0.605
0.938 0.791 0.797

=====

2.
Cu3Mo2H2O10 | the Alexandria database | PBE+U | relaxed; magnetic moment = 0.1750 μB/atom; density of states at the Fermi level = 3.81 states/eV/cell
1.0
5.475 0.000 0.000
0.000 14.095 0.000
-4.668 0.000 5.647
Cu Mo H O
6 4 4 20
Direct
0.000 0.000 0.000
0.000 0.500 0.500
0.376 0.094 0.519
0.376 0.406 0.019
0.624 0.594 0.981
0.624 0.906 0.481
0.413 0.654 0.371
0.413 0.846 0.871
0.587 0.154 0.129
0.587 0.346 0.629
0.094 0.568 0.879
0.094 0.932 0.379
0.906 0.068 0.621
0.906 0.432 0.121
0.035 0.629 0.079
0.035 0.871 0.579
0.212 0.530 0.844
0.212 0.970 0.344
0.265 0.112 0.118
0.265 0.388 0.618
0.425 0.592 0.587
0.425 0.908 0.087
0.454 0.721 0.935
0.454 0.779 0.435
0.546 0.221 0.565
0.546 0.279 0.065
0.575 0.092 0.913
0.575 0.408 0.413
0.735 0.612 0.382
0.735 0.888 0.882
0.788 0.030 0.656
0.788 0.470 0.156
0.965 0.129 0.421
0.965 0.371 0.921

=====

Most stable pick: 2. Distance to second place: 32 meV/atom.